Entry 1:
The following is a DFT calculation (PBE-GGA) of crystalline TbDyCCl at its relaxed geometry.

Computed properties:
VASP energy, eV/atom: -6.16
ρ, Mg/m³: 7.7
Energy relative to the elements, uncorrected, eV per atom: -1.09
Size of the total moment, μB/cell: 0.00

The structure in extended XYZ format:
```
4
Lattice="-1.5384 -0.2431 -3.2862 2.6953 -2.2625 0.9178 -4.4944 -3.5768 4.3805" Properties=species:S:1:pos:R:3 pbc="T T T"
Tb -3.4258 -2.9009 1.4381
Dy 2.1561 -2.3569 0.7972
C -2.9137 -4.4480 3.3250
Cl -2.0844 -2.3905 -1.2394
```

***

Entry 2:
The following is a DFT calculation (PBE-GGA) of crystalline TcBiOs2 at its relaxed geometry.

Computed properties:
VASP energy, eV/atom: -7.87
ρ, Mg/m³: 11.5
Energy of formation, meV per atom: 1307.8
Size of the total moment, μB/cell: 0.00

The structure in extended XYZ format:
```
8
Lattice="5.7907 0.0000 0.0000 0.0000 5.7907 0.0000 2.8954 2.8954 5.9258" Properties=species:S:1:pos:R:3 pbc="T T T"
Os 4.0794 1.4477 1.4814
Os 1.7113 4.3430 1.4814
Os 4.3430 4.6066 4.4443
Os 7.2384 6.9748 4.4443
Bi 0.0000 0.0000 0.0000
Bi 5.7907 2.8954 2.9629
Tc 2.8954 2.8954 0.0000
Tc 2.8954 5.7907 2.9629
```

***

Entry 3:
The following is a DFT calculation (PBE-GGA) of crystalline Ag3TeS4 at its relaxed geometry.

Computed properties:
VASP energy, eV/atom: -3.46
ρ, Mg/m³: 4.8
Polymorph energy (0 for the lowest one), meV/atom: 0.0
Energy relative to the elements, uncorrected, eV per atom: 0.07
Size of the total moment, μB/cell: 0.00

The structure in extended XYZ format:
```
8
Lattice="-5.8183 -0.2926 0.9741 -0.9524 -0.4174 -5.8143 3.7350 -5.4107 2.7768" Properties=species:S:1:pos:R:3 pbc="T T T"
Ag -3.3854 -0.3550 -2.4201
Ag -2.7343 -3.0291 0.6654
Ag -0.3014 -3.0916 -2.7288
Te 0.0000 0.0000 0.0000
S -1.5802 -1.6124 -1.1031
S -5.0161 -1.9727 -3.5593
S 1.4971 -4.3598 -1.4547
S -0.9722 -4.2965 1.9902
```

***

Entry 4:
The following is a DFT calculation (PBE-GGA) of crystalline Nd2CuI at its relaxed geometry.

Computed properties:
VASP energy, eV/atom: -4.19
ρ, Mg/m³: 7.2
Polymorph energy (0 for the lowest one), meV/atom: 104.0
Energy relative to the elements, uncorrected, eV per atom: -0.40
Size of the total moment, μB/cell: 0.00

The structure in extended XYZ format:
```
4
Lattice="3.6210 0.0000 0.0000 0.0000 3.6210 0.0000 0.0000 0.0000 8.3823" Properties=species:S:1:pos:R:3 pbc="T T T"
I 1.8105 1.8105 4.1912
Nd 0.0000 0.0000 6.5630
Nd 0.0000 0.0000 1.8194
Cu 1.8105 1.8105 0.0000
```

***

Entry 5:
The following is a DFT calculation (PBE-GGA) of crystalline PuUB4 at its relaxed geometry.

Computed properties:
VASP energy, eV/atom: -8.64
ρ, Mg/m³: 12.9
Energy of formation, meV per atom: 85.6
Polymorph energy (0 for the lowest one), meV/atom: 319.1
Size of the total moment, μB/cell: 3.72

The structure in extended XYZ format:
```
6
Lattice="-0.4617 1.9387 4.1164 -3.5274 -1.1361 2.6801 0.7055 -2.4707 3.7834" Properties=species:S:1:pos:R:3 pbc="T T T"
B -2.5807 0.4292 4.5897
B 0.0231 -0.3917 5.2683
B -2.1467 -1.0906 6.9169
B -1.8627 -2.2831 4.3848
U -0.8209 -0.4170 2.6450
Pu 0.0000 0.0000 0.0000
```

***

Entry 6:
The following is a DFT calculation (PBE-GGA) of crystalline Ho6Er2Pb at its relaxed geometry.

Computed properties:
VASP energy, eV/atom: -4.57
ρ, Mg/m³: 9.4
Energy of formation, meV per atom: -89.6
Size of the total moment, μB/cell: 0.00

The structure in extended XYZ format:
```
18
Lattice="4.7999 0.0000 0.2398 -0.0002 10.6378 0.0020 -0.5309 -0.0017 10.6248" Properties=species:S:1:pos:R:3 pbc="T T T"
Ho 4.7132 10.6369 1.9728
Ho 4.5341 7.0515 5.5548
Ho 4.3549 7.0475 9.1400
Ho 2.0486 1.7282 7.1585
Ho 1.8693 1.7314 10.7437
Ho 2.2209 5.3178 3.7023
Ho -0.4443 -0.0009 8.8938
Ho -0.2653 3.5845 5.3118
Ho -0.0860 3.5886 1.7266
Ho 2.2203 8.9079 3.7082
Ho 2.3995 8.9046 0.1229
Ho 2.0479 5.3183 7.1643
Er -0.4441 3.5834 8.8917
Er 2.0475 8.9026 7.1675
Er 2.2213 1.7334 3.6991
Er 4.7129 7.0527 1.9749
Pb 2.3998 5.3189 0.1209
Pb -0.2654 -0.0009 5.3124
```

***

Entry 7:
The following is a DFT calculation (PBE-GGA) of crystalline Be2ZnTcGe at its relaxed geometry.

Computed properties:
VASP energy, eV/atom: -3.60
ρ, Mg/m³: 5.5
Energy of formation, meV per atom: 1139.8
Size of the total moment, μB/cell: 2.85

The structure in extended XYZ format:
```
5
Lattice="-0.0310 -3.5841 -1.8531 1.6463 -2.0567 3.9505 -3.7845 -0.6167 1.2561" Properties=species:S:1:pos:R:3 pbc="T T T"
Zn 0.0000 0.0000 0.0000
Ge 0.8232 -1.0284 1.9752
Tc -1.0846 -3.1288 1.6768
Be -1.8923 -0.3083 0.6281
Be -0.0155 -1.7921 -0.9265
```

***

- The highest ρ belongs to which entry?
  PuUB4